# 1
A relaxed structure of LiZn2HgSb, computed with PBE-GGA.

- Crystal system: tetragonal
- Formation energy without anion corrections: 27.33 kJ per mole of atoms
- Density: 6191 kg/m3
- DOS at the Fermi energy: 0.4687 states/eV per atom
- Calculated total energy: -1.494 eV/atom

Cell and atoms, written as POSCAR:
```
LiZn2HgSb
1.0
-4.3837 -0.5900 -2.3201
-1.7005 -2.5736 3.8675
-1.6682 4.2247 2.0778
Sb Zn Hg Li
1 2 1 1
direct
0.5000 0.5000 0.5000
0.0000 0.0000 0.5000
0.5000 0.0000 0.0000
0.0000 0.0000 0.0000
0.0000 0.5000 0.0000
```



# 2
A relaxed structure of LiScHg3, computed with PBE-GGA.

- Crystal system: cubic
- Density: 9985 kg/m3
- ΔE_f: -0.002 eV/atom
- DOS at the Fermi energy: 0.8293 states/eV per atom
- Calculated total energy: -1.832 eV/atom
- Polymorph energy (0 for the lowest one): 274 meV per atom

Cell and atoms, written as POSCAR:
```
LiScHg3
1.0
-3.0694 -1.5813 -3.2949
3.6451 -1.0122 -2.9098
0.2653 -4.3878 1.8587
Sc Hg Li
1 3 1
direct
0.5000 0.5000 0.5000
0.0000 0.5000 0.0000
0.0000 0.0000 0.5000
0.5000 0.0000 0.0000
0.0000 0.0000 0.0000
```



# 3
A relaxed structure of LiSc5Hg4, computed with PBE-GGA.

- Crystal system: tetragonal
- Density: 7948 kg/m3
- ΔE_f: -0.313 eV/atom
- DOS at the Fermi energy: 1.1987 states/eV per atom
- Calculated total energy: -3.790 eV/atom

Cell and atoms, written as POSCAR:
```
LiSc5Hg4
1.0
3.5402 0.0000 0.0000
0.0000 3.5402 0.0000
0.0000 0.0000 17.2389
Li Sc Hg
1 5 4
direct
0.0000 0.0000 0.0000
0.5000 0.5000 0.0962
0.5000 0.5000 0.2979
0.5000 0.5000 0.5000
0.5000 0.5000 0.7021
0.5000 0.5000 0.9038
0.0000 0.0000 0.1931
0.0000 0.0000 0.3986
0.0000 0.0000 0.6014
0.0000 0.0000 0.8069
```



# 4
A relaxed structure of LiSc3Hg, computed with PBE-GGA.

- Crystal system: cubic
- Density: 3653 kg/m3
- ΔE_f: 0.417 eV/atom
- DOS at the Fermi energy: 1.4162 states/eV per atom
- Calculated total energy: -3.826 eV/atom
- Polymorph energy (0 for the lowest one): 0 meV per atom

Cell and atoms, written as POSCAR:
```
LiSc3Hg
1.0
5.3790 0.0000 0.0000
0.0000 5.3790 0.0000
0.0000 0.0000 5.3790
Sc Hg Li
3 1 1
direct
0.0000 0.5000 0.0000
0.0000 0.0000 0.5000
0.5000 0.0000 0.0000
0.0000 0.0000 0.0000
0.5000 0.5000 0.5000
```



# 5
A relaxed structure of Li5ScHg6, computed with PBE-GGA.

- Crystal system: orthorhombic
- Density: 9302 kg/m3
- ΔE_f: -0.370 eV/atom
- DOS at the Fermi energy: 0.4160 states/eV per atom
- Calculated total energy: -1.846 eV/atom

Cell and atoms, written as POSCAR:
```
Li5ScHg6
1.0
4.5213 -0.0271 1.5068
0.0363 6.7399 0.0121
0.0060 -0.0136 7.5189
Sc Hg Li
1 6 5
direct
0.0000 0.0000 0.0000
0.8306 0.7414 0.3389
0.8305 0.2586 0.3389
0.5000 0.2601 0.0000
0.5000 0.7399 0.0000
0.1695 0.7414 0.6611
0.1694 0.2586 0.6611
0.6629 0.5000 0.6741
0.3318 0.0000 0.3365
0.0000 0.5000 0.0000
0.6682 0.0000 0.6635
0.3371 0.5000 0.3259
```



# 6
A relaxed structure of LiScHg, computed with PBE-GGA.

- Crystal system: trigonal
- Density: 6994 kg/m3
- ΔE_f: -0.234 eV/atom
- DOS at the Fermi energy: 0.6460 states/eV per atom
- Calculated total energy: -3.084 eV/atom
- Polymorph energy (0 for the lowest one): 1 meV per atom

Cell and atoms, written as POSCAR:
```
LiScHg
1.0
4.6873 0.0000 0.0000
-2.3436 4.0593 0.0000
0.0000 0.0000 3.1505
Hg Li Sc
1 1 1
direct
0.0000 0.0000 0.1659
0.3333 0.6667 0.1676
0.6667 0.3333 0.6664
```



# 7
A relaxed structure of Li2Sc2Hg, computed with PBE-GGA.

- Crystal system: tetragonal
- Density: 5054 kg/m3
- ΔE_f: -0.019 eV/atom
- DOS at the Fermi energy: 1.0759 states/eV per atom
- Calculated total energy: -3.377 eV/atom
- Polymorph energy (0 for the lowest one): 0 meV per atom

Cell and atoms, written as POSCAR:
```
Li2Sc2Hg
1.0
6.6002 0.0000 0.0000
0.0000 6.6002 0.0000
0.0000 0.0000 4.5919
Sc Hg Li
4 2 4
direct
0.1837 0.6837 0.5000
0.6837 0.8163 0.5000
0.8163 0.3163 0.5000
0.3163 0.1837 0.5000
0.0000 0.0000 0.0000
0.5000 0.5000 0.0000
0.3721 0.8721 0.0000
0.8721 0.6279 0.0000
0.6279 0.1279 0.0000
0.1279 0.3721 0.0000
```



# 8
A relaxed structure of Li2ScHg2, computed with PBE-GGA.

- Crystal system: tetragonal
- Density: 8186 kg/m3
- ΔE_f: -0.286 eV/atom
- DOS at the Fermi energy: 0.6536 states/eV per atom
- Calculated total energy: -2.438 eV/atom
- Polymorph energy (0 for the lowest one): 0 meV per atom

Cell and atoms, written as POSCAR:
```
Li2ScHg2
1.0
7.6045 0.0000 0.0000
0.0000 7.6045 0.0000
0.0000 0.0000 3.2275
Sc Hg Li
2 4 4
direct
0.0000 0.0000 0.0000
0.5000 0.5000 0.0000
0.1848 0.6848 0.5000
0.6848 0.8152 0.5000
0.8152 0.3152 0.5000
0.3152 0.1848 0.5000
0.3838 0.8838 0.0000
0.8838 0.6162 0.0000
0.6162 0.1162 0.0000
0.1162 0.3838 0.0000
```